# 1
6
Lattice="0.5184 3.2334 -5.5555 -3.7128 -3.5881 3.8636 -2.2910 5.7339 3.1235" Properties=species:S:1:pos:R:3 comment="MoCl5, relaxed, DFT PBE" formation_energy_uncorrected_ev_per_atom=0.05 dft_energy_ha_per_atom=-0.1212 pbc="T T T"
Cl -2.7117 2.7397 0.6467
Cl -1.0063 0.7754 -2.1614
Cl 0.3984 3.0399 -5.2883
Cl -2.4109 -1.4891 0.9654
Cl -1.6049 4.5239 -1.8170
Mo -4.2740 0.2209 4.1245

# 2
8
Lattice="5.3775 0.0000 0.0000 0.0000 5.3775 0.0000 0.0000 0.0000 5.3775" Properties=species:S:1:pos:R:3 comment="MoCl, relaxed, DFT PBE" formation_energy_uncorrected_ev_per_atom=0.97 dft_energy_ha_per_atom=-0.1975 pbc="T T T"
Cl 4.0331 4.0331 1.3444
Cl 1.3444 4.0331 4.0331
Cl 4.0331 1.3444 4.0331
Cl 1.3444 1.3444 1.3444
Mo 2.6887 2.6887 0.0000
Mo 0.0000 0.0000 0.0000
Mo 0.0000 2.6887 2.6887
Mo 2.6887 0.0000 2.6887

# 3
6
Lattice="0.0000 3.7168 3.7168 3.7168 0.0000 3.7168 3.7168 3.7168 0.0000" Properties=species:S:1:pos:R:3 comment="Mo5Cl, relaxed, DFT PBE" formation_energy_uncorrected_ev_per_atom=0.90 dft_energy_ha_per_atom=-0.3099 pbc="T T T"
Cl 0.0000 0.0000 0.0000
Mo 5.5751 5.5751 5.5751
Mo 2.7843 4.6492 4.6492
Mo 4.6492 2.7843 4.6492
Mo 2.7843 2.7843 2.7843
Mo 4.6492 4.6492 2.7843

# 4
12
Lattice="6.6708 0.0000 0.0000 0.0000 6.6708 0.0000 0.0000 0.0000 6.6708" Properties=species:S:1:pos:R:3 comment="MoCl, relaxed, DFT PBE" formation_energy_uncorrected_ev_per_atom=1.28 dft_energy_ha_per_atom=-0.1858 pbc="T T T"
Cl 5.0031 0.0000 3.3354
Cl 3.3354 5.0031 0.0000
Cl 3.3354 1.6677 0.0000
Cl 1.6677 0.0000 3.3354
Cl 0.0000 3.3354 5.0031
Cl 0.0000 3.3354 1.6677
Mo 3.3354 0.0000 1.6677
Mo 0.0000 5.0031 3.3354
Mo 3.3354 0.0000 5.0031
Mo 1.6677 3.3354 0.0000
Mo 0.0000 1.6677 3.3354
Mo 5.0031 3.3354 0.0000

# 5
6
Lattice="0.1081 5.0076 2.7022 -5.4470 0.6803 1.5026 3.3345 -4.5049 0.9888" Properties=species:S:1:pos:R:3 comment="Mo2Cl, relaxed, DFT PBE" formation_energy_uncorrected_ev_per_atom=0.66 dft_energy_ha_per_atom=-0.2636 pbc="T T T"
Mo 0.5192 0.4894 1.1917
Mo 1.5201 1.5084 3.6045
Mo -2.5236 0.6936 4.0019
Mo -3.5245 -0.3253 1.5890
Cl -0.8608 -1.0779 2.6923
Cl -1.1436 2.2610 2.5013

# 6
10
Lattice="-1.4698 1.5504 2.3032 6.1551 -2.8776 5.9512 8.4872 6.3774 1.1686" Properties=species:S:1:pos:R:3 comment="Mo2Cl3, relaxed, DFT PBE" formation_energy_uncorrected_ev_per_atom=-0.53 dft_energy_ha_per_atom=-0.2194 pbc="T T T"
Mo 6.8809 6.3953 2.8244
Mo 2.4243 1.5657 1.0425
Mo 6.6219 -1.7050 6.0106
Mo 7.4597 4.8013 4.2656
Cl 9.8090 4.2234 4.0113
Cl 6.7828 2.8153 3.0279
Cl 12.1425 2.4150 6.8051
Cl 5.4052 0.3960 5.9620
Cl 2.2994 1.0904 3.4250
Cl 8.3953 1.0815 7.4074

# 7
16
Lattice="-5.2786 1.3211 6.3956 -6.1886 -3.6383 -4.3562 2.0857 -7.4519 3.2608" Properties=species:S:1:pos:R:3 comment="MoCl, relaxed, DFT PBE" formation_energy_uncorrected_ev_per_atom=0.38 dft_energy_ha_per_atom=-0.2191 pbc="T T T"
Cl -4.3708 -8.2618 0.6117
Cl -8.3787 -3.4873 2.3178
Cl -1.6022 -6.0547 2.9284
Cl -3.8756 -5.5628 6.4631
Cl -2.1379 -2.2263 1.2079
Cl -5.3735 -4.3166 -0.5432
Cl -4.9587 -2.0562 4.3572
Cl -6.8287 -7.1108 3.8579
Mo -5.1577 0.0450 5.6254
Mo -5.8806 -3.8946 -2.9155
Mo -4.5699 -6.1606 1.8799
Mo -3.7262 -3.8801 2.1052
Mo -4.3827 -5.1408 4.0908
Mo -6.0842 -4.3566 2.5245
Mo -8.4169 -8.7647 4.7552
Mo 0.6923 -6.9240 3.1352

# 8
6
Lattice="2.5302 -4.3824 0.0000 2.5302 4.3824 0.0000 0.0000 0.0000 4.4187" Properties=species:S:1:pos:R:3 comment="Mo5Cl, relaxed, DFT PBE" formation_energy_uncorrected_ev_per_atom=0.68 dft_energy_ha_per_atom=-0.3182 pbc="T T T"
Cl 0.0000 0.0000 2.2094
Mo 2.5302 -1.4608 2.2094
Mo 2.5302 1.4608 2.2094
Mo 1.6300 2.8232 0.0000
Mo 1.8004 0.0000 0.0000
Mo 1.6300 -2.8232 0.0000

# 9
5
Lattice="-3.0401 3.0401 3.0401 3.0401 -3.0401 3.0401 3.0401 3.0401 -3.0401" Properties=species:S:1:pos:R:3 comment="MoCl4, relaxed, DFT PBE" formation_energy_uncorrected_ev_per_atom=-0.07 dft_energy_ha_per_atom=-0.1364 pbc="T T T"
Cl 1.5201 1.5201 -1.5201
Cl 1.5201 -1.5201 1.5201
Cl 1.5201 1.5201 1.5201
Cl -1.5201 1.5201 1.5201
Mo 0.0000 0.0000 0.0000

# 10
8
Lattice="8.0341 0.0000 0.0000 0.0000 8.0341 0.0000 0.0000 0.0000 2.9765" Properties=species:S:1:pos:R:3 comment="MoCl, relaxed, DFT PBE" formation_energy_uncorrected_ev_per_atom=0.46 dft_energy_ha_per_atom=-0.2160 pbc="T T T"
Mo 3.2401 3.2401 0.0000
Mo 7.2572 0.7769 1.4882
Mo 4.7939 4.7939 0.0000
Mo 0.7769 7.2572 1.4882
Cl 1.6653 1.6653 1.4882
Cl 5.6823 2.3517 0.0000
Cl 2.3517 5.6823 0.0000
Cl 6.3688 6.3688 1.4882

# 11
30
Lattice="11.2364 0.0000 0.0000 0.0000 6.3399 0.0153 0.0000 6.2777 12.6104" Properties=species:S:1:pos:R:3 comment="MoCl4, relaxed, DFT PBE" formation_energy_uncorrected_ev_per_atom=-0.81 dft_energy_ha_per_atom=-0.1638 pbc="T T T"
Cl 10.0954 9.9267 8.1067
Cl 8.4861 8.9676 10.7664
Cl 8.4861 6.7889 8.1644
Cl 2.7503 3.6500 1.8592
Cl 10.6326 5.6051 4.6242
Cl 4.6578 2.4546 4.5512
Cl 3.0519 5.6572 10.8560
Cl 6.5786 10.1630 8.0745
Cl 0.6037 8.7439 10.9294
Cl 10.6326 3.8737 1.6963
Cl 6.5786 5.5934 10.8564
Cl 1.1410 2.6909 4.5190
Cl 10.0954 5.8298 10.8242
Cl 2.7503 5.8287 4.4612
Cl 3.0519 10.0992 8.0749
Cl 6.3528 6.0269 4.4144
Cl 8.1845 2.5184 4.5507
Cl 4.8836 9.1658 10.7196
Cl 4.8836 6.5907 8.2113
Cl 1.1410 6.7878 1.8015
Cl 8.1845 6.9604 1.7697
Cl 0.6037 7.0125 8.0015
Cl 6.3528 3.4518 1.9061
Cl 4.6578 7.0242 1.7693
Mo 10.3330 7.8782 9.4654
Mo 8.3612 4.7083 9.4578
Mo 2.8752 1.5694 3.1526
Mo 4.5603 4.7083 9.4578
Mo 0.9034 4.7394 3.1602
Mo 6.6760 1.5694 3.1526

# 12
4
Lattice="3.0340 0.0000 0.0000 0.0000 4.3575 0.0000 0.0000 0.0000 5.3273" Properties=species:S:1:pos:R:3 comment="MoCl, relaxed, DFT PBE" formation_energy_uncorrected_ev_per_atom=0.37 dft_energy_ha_per_atom=-0.2195 pbc="T T T"
Mo 1.5170 0.0000 2.6050
Mo 0.0000 2.1787 1.8345
Cl 1.5170 2.1787 3.9297
Cl 0.0000 0.0000 0.5098

# 13
3
Lattice="-1.2146 0.2804 4.4350 3.5582 -0.6865 2.8445 -1.4883 2.7332 -3.3967" Properties=species:S:1:pos:R:3 comment="Mo2Cl, relaxed, DFT PBE" formation_energy_uncorrected_ev_per_atom=0.75 dft_energy_ha_per_atom=-0.2605 pbc="T T T"
Cl 0.0000 0.0000 0.0000
Mo 1.5709 -0.2722 4.8792
Mo 0.7728 -0.1339 2.4004

# 14
6
Lattice="1.6408 -8.8167 0.0000 1.6408 8.8167 0.0000 0.0000 0.0000 4.2997" Properties=species:S:1:pos:R:3 comment="Mo2Cl, relaxed, DFT PBE" formation_energy_uncorrected_ev_per_atom=0.01 dft_energy_ha_per_atom=-0.2877 pbc="T T T"
Mo 1.6408 7.6203 3.2248
Mo 1.6408 0.8780 3.2248
Mo 1.6408 -0.8780 1.0749
Mo 1.6408 -7.6203 1.0749
Cl 1.6408 5.8972 1.0749
Cl 1.6408 -5.8972 3.2248

# 15
6
Lattice="-1.5288 1.5288 11.7143 1.5288 -1.5288 11.7143 1.5288 1.5288 -11.7143" Properties=species:S:1:pos:R:3 comment="Mo2Cl, relaxed, DFT PBE" formation_energy_uncorrected_ev_per_atom=0.64 dft_energy_ha_per_atom=-0.2645 pbc="T T T"
Mo 0.0000 0.0000 9.6873
Mo 0.0000 0.0000 13.7413
Mo 1.5288 0.0000 3.8301
Mo 1.5288 0.0000 7.8842
Cl 0.0000 1.5288 5.8571
Cl 0.0000 0.0000 0.0000

# 16
36
Lattice="13.1506 0.0087 0.0278 0.1304 13.1499 0.0278 0.4809 0.4764 6.5442" Properties=species:S:1:pos:R:3 comment="MoCl5, relaxed, DFT PBE" formation_energy_uncorrected_ev_per_atom=-0.79 dft_energy_ha_per_atom=-0.1521 pbc="T T T"
Cl 0.5598 11.1427 2.0143
Cl 6.2413 1.3381 4.9126
Cl 2.3641 4.7712 2.0824
Cl 1.9716 10.1227 5.7370
Cl 13.2020 2.4924 4.5856
Cl 4.6015 6.9965 5.3659
Cl 3.1497 7.9717 2.5336
Cl 12.7596 12.6420 5.8123
Cl 3.6213 11.7572 0.8629
Cl 2.6144 13.1784 4.5856
Cl 4.7929 2.3198 2.0824
Cl 5.5268 5.4758 2.6060
Cl 8.2351 8.1592 3.9938
Cl 8.9689 11.3152 4.5175
Cl 7.0388 4.5365 5.3659
Cl 10.6121 5.6633 4.0663
Cl 12.3660 7.4064 1.6873
Cl 9.8892 9.7981 1.7566
Cl 1.0022 0.9930 0.7876
Cl 7.5205 12.2969 1.6873
Cl 3.8726 3.8369 4.8433
Cl 11.3977 8.8638 4.5175
Cl 11.7902 3.5123 0.8629
Cl 9.1603 6.6385 1.2340
Cl 10.1405 1.8778 5.7370
Cl 6.7230 9.0985 1.2340
Cl 8.0005 3.0758 2.5336
Cl 5.7613 10.5592 4.0663
Cl 11.1474 0.4566 2.0143
Cl 1.3958 6.2286 4.9126
Mo 6.0795 3.2634 3.7239
Mo 10.4422 7.5860 2.8760
Mo 3.3196 6.0490 3.7239
Mo 11.7688 1.4033 0.0278
Mo 7.6823 10.3716 2.8760
Mo 1.5122 11.7553 0.0278

# 17
48
Lattice="-5.2267 0.2252 -3.9243 -7.4686 -0.7849 9.9024 -0.1938 18.4692 1.3178" Properties=species:S:1:pos:R:3 comment="MoCl5, relaxed, DFT PBE" formation_energy_uncorrected_ev_per_atom=-0.79 dft_energy_ha_per_atom=-0.1521 pbc="T T T"
Cl -6.6914 4.6511 -1.1217
Cl -6.6425 1.2120 -1.2655
Cl -8.3859 4.1708 5.3611
Cl -8.4615 11.3994 9.9114
Cl -1.4588 4.6560 -0.4207
Cl -4.4277 6.5100 -2.6155
Cl -8.4507 0.7366 5.1318
Cl -1.4942 8.1034 -0.2735
Cl -5.2248 7.7108 4.6804
Cl -7.6060 13.6420 2.8330
Cl -11.3950 9.8060 7.5694
Cl -5.2832 4.2674 4.4629
Cl -4.5033 13.7386 1.9348
Cl -7.7366 17.0794 3.1064
Cl -7.4789 6.0881 2.8485
Cl -6.7145 8.0761 -0.7758
Cl -3.7522 6.2440 1.3040
Cl -6.7118 15.5650 0.3313
Cl -6.1747 9.8333 8.0717
Cl -6.2136 5.7967 7.2109
Cl -8.4976 14.8386 10.1568
Cl -9.1370 11.6654 5.9919
Cl -11.4304 13.2534 7.7165
Cl -4.3916 3.0708 -2.8609
Cl -6.6756 12.1127 0.0850
Cl -5.4464 15.2605 4.6927
Cl -9.1732 15.1177 6.2382
Cl -4.3665 10.3087 1.6743
Cl -7.4428 2.6489 2.6031
Cl -3.7160 2.7917 1.0577
Cl -1.4219 1.2227 -0.7645
Cl -6.1774 2.3444 6.9645
Cl -6.2467 16.6974 8.5614
Cl -5.1526 0.8301 4.1895
Cl -7.6644 10.1986 2.6155
Cl -8.5227 7.6007 5.6215
Cl -11.4672 16.6867 8.0604
Cl -4.4385 17.1729 2.1641
Cl -5.4103 11.8213 4.4473
Cl -6.1978 13.2583 8.4175
Mo -6.8541 6.1757 5.0487
Mo -6.0351 11.7337 2.2472
Mo -1.4387 2.5848 1.0497
Mo -1.4797 6.4975 1.3289
Mo -11.4505 15.3247 6.2461
Mo -6.8131 2.2630 4.7695
Mo -6.0761 15.6465 2.5264
Mo -11.4095 11.4119 5.9670

# 18
6
Lattice="4.0780 -7.0633 0.0000 4.0780 7.0633 0.0000 0.0000 0.0000 2.9147" Properties=species:S:1:pos:R:3 comment="MoCl5, relaxed, DFT PBE" formation_energy_uncorrected_ev_per_atom=-0.27 dft_energy_ha_per_atom=-0.1330 pbc="T T T"
Cl 3.1370 5.4334 0.0000
Cl 1.8820 0.0000 0.0000
Cl 4.0780 -2.3544 1.4574
Cl 3.1370 -5.4334 0.0000
Cl 4.0780 2.3544 1.4574
Mo 0.0000 0.0000 1.4574

# 19
6
Lattice="1.5298 5.6147 -0.0151 -1.5298 5.6147 -0.0151 0.0000 1.5379 5.5632" Properties=species:S:1:pos:R:3 comment="Mo5Cl, relaxed, DFT PBE" formation_energy_uncorrected_ev_per_atom=0.44 dft_energy_ha_per_atom=-0.3270 pbc="T T T"
Mo 0.0000 11.6875 3.4009
Mo 0.0000 8.5223 3.6703
Mo 0.0000 4.3069 1.9769
Mo 0.0000 7.2877 1.3217
Mo 0.0000 4.5461 5.0680
Cl 0.0000 11.0529 0.2091

# 20
7
Lattice="6.5431 0.0000 0.0000 -3.2715 5.6665 0.0000 0.0000 0.0000 5.9161" Properties=species:S:1:pos:R:3 comment="MoCl6, relaxed, DFT PBE" formation_energy_uncorrected_ev_per_atom=-0.73 dft_energy_ha_per_atom=-0.1419 pbc="T T T"
Cl 2.3276 4.0315 4.2932
Cl 1.8879 0.0000 4.2932
Cl -0.9439 1.6349 4.2932
Cl -2.3276 4.0315 1.6229
Cl 4.6552 0.0000 1.6229
Cl 0.9439 1.6349 1.6229
Mo 0.0000 0.0000 2.9580